A relaxed MgCdSbAu crystal. Source: the Alexandria database, functional PBE.

a = 5.0032 Å, b = 5.0032 Å, c = 5.0032 Å
α = 60.00°, β = 60.00°, γ = 60.00°
Fractional positions:
1 Sb 0.5000 0.5000 0.5000
2 Mg 0.7500 0.7500 0.7500
3 Au 0.0000 0.0000 0.0000
4 Cd 0.2500 0.2500 0.2500

Calculated values
Raw formation energy, eV/atom: -0.124
Size of the total moment, μB/cell: 0.000
Calculated total energy, eV per atom: -2.601
Space group: F-43m, No. 216

---

A relaxed MgSc2CdAu4 crystal. Source: the Alexandria database, functional PBE.

a = 4.7641 Å, b = 4.7641 Å, c = 8.2315 Å
α = 73.18°, β = 73.18°, γ = 60.00°
Fractional positions:
1 Mg 0.5000 0.5000 0.5000
2 Sc 0.7476 0.7476 0.7571
3 Sc 0.2524 0.2524 0.2429
4 Cd 0.0000 0.0000 0.0000
5 Au 0.3794 0.3794 0.8619
6 Au 0.8709 0.8709 0.3872
7 Au 0.1291 0.1291 0.6128
8 Au 0.6206 0.6206 0.1381

Calculated values
Energy of formation, meV/atom: -680
Size of the total moment, μB/cell: 0.000
Calculated total energy, eV per atom: -4.216
Space group: R-3m, No. 166

---

A relaxed Mg2Sc5CdAu2 crystal. Source: the Alexandria database, functional PBE.

a = 3.5921 Å, b = 11.3696 Å, c = 11.3696 Å
α = 90.00°, β = 90.00°, γ = 90.00°
Fractional positions:
1 Mg 0.0000 0.6745 0.1745
2 Mg 0.0000 0.3255 0.8255
3 Mg 0.0000 0.1745 0.3255
4 Mg 0.0000 0.8255 0.6745
5 Sc 0.5000 0.1993 0.0655
6 Sc 0.5000 0.8007 0.9345
7 Sc 0.5000 0.0655 0.8007
8 Sc 0.5000 0.6993 0.4345
9 Sc 0.5000 0.9345 0.1993
10 Sc 0.5000 0.3007 0.5655
11 Sc 0.5000 0.5655 0.6993
12 Sc 0.5000 0.4345 0.3007
13 Sc 0.5000 0.5000 0.0000
14 Sc 0.5000 0.0000 0.5000
15 Cd 0.0000 0.0000 0.0000
16 Cd 0.0000 0.5000 0.5000
17 Au 0.0000 0.1299 0.6299
18 Au 0.0000 0.8701 0.3701
19 Au 0.0000 0.6299 0.8701
20 Au 0.0000 0.3701 0.1299

Calculated values
Energy of formation, meV/atom: -354
Size of the total moment, μB/cell: 0.001
Calculated total energy, eV per atom: -4.586
Space group: P4/mbm, No. 127